Entry 1:
# PBE-GGA Mg2CrCo, relaxed
# **Relative energy among the computed polymorphs**: 205 meV/atom
# **Spin magnetization**: 10.4 μB/cell
# **Total energy**: -4.585 eV per atom
# **Energy relative to the elements**: 1.58 eV per formula unit
data_Mg2CrCo
_chemical_formula_sum 'Mg4 Cr2 Co2'
_space_group_name_H-M_alt 'C m m m'
_space_group_IT_number 65
_space_group_name_Hall '-C 2 2'
_cell_length_a 5.778
_cell_length_b 7.661
_cell_length_c 2.953
_cell_angle_alpha 90.00
_cell_angle_beta 90.00
_cell_angle_gamma 90.00
loop_
_atom_site_label
_atom_site_type_symbol
_atom_site_fract_x
_atom_site_fract_y
_atom_site_fract_z
Mg1 Mg 0.250 0.250 0.000
Cr1 Cr 0.000 0.000 0.500
Co1 Co 0.000 0.500 0.500

---

Entry 2:
# PBE-GGA MgCr2Co, relaxed
# **Spin magnetization**: 0.7 μB/cell
# **Total energy**: -6.514 eV per atom
# **Energy relative to the elements**: 1.89 eV per formula unit
data_MgCr2Co
_chemical_formula_sum 'Mg3 Cr6 Co3'
_space_group_name_H-M_alt 'R -3 m'
_space_group_IT_number 166
_space_group_name_Hall '-R 3 2"'
_cell_length_a 2.6103
_cell_length_b 2.6103
_cell_length_c 26.2316
_cell_angle_alpha 90.00
_cell_angle_beta 90.00
_cell_angle_gamma 120.00
loop_
_atom_site_label
_atom_site_type_symbol
_atom_site_fract_x
_atom_site_fract_y
_atom_site_fract_z
Mg1 Mg 0.0000 0.0000 0.0000
Cr1 Cr 0.0000 0.0000 0.2413
Co1 Co 0.0000 0.0000 0.5000

---

Entry 3:
# PBE-GGA MgCr2Co, relaxed
# **Spin magnetization**: 0.0 μB/cell
# **Total energy**: -6.564 eV per atom
# **Energy relative to the elements**: 1.69 eV per formula unit
data_MgCr2Co
_chemical_formula_sum 'Mg2 Cr4 Co2'
_space_group_name_H-M_alt 'C 1 2/m 1'
_space_group_IT_number 12
_cell_length_a 4.814
_cell_length_b 8.538
_cell_length_c 2.522
_cell_angle_alpha 90.00
_cell_angle_beta 105.94
_cell_angle_gamma 90.00
loop_
_space_group_symop_operation_xyz
'x,y,z'
'-x,-y,-z'
'-x,y,-z'
'x,-y,z'
'x+1/2,y+1/2,z'
'-x+1/2,-y+1/2,-z'
'-x+1/2,y+1/2,-z'
'x+1/2,-y+1/2,z'
loop_
_atom_site_label
_atom_site_type_symbol
_atom_site_fract_x
_atom_site_fract_y
_atom_site_fract_z
Mg1 Mg 0.000 0.000 0.000
Cr1 Cr 0.250 0.250 0.500
Co1 Co 0.000 0.500 0.000

---

Entry 4:
# PBE-GGA Mg2CrCo, relaxed
# **Relative energy among the computed polymorphs**: 151 meV/atom
# **Spin magnetization**: 0.0 μB/cell
# **Total energy**: -4.639 eV per atom
# **Energy relative to the elements**: 1.36 eV per formula unit
data_Mg2CrCo
_chemical_formula_sum 'Mg2 Cr1 Co1'
_space_group_name_H-M_alt 'P 1 m 1'
_space_group_IT_number 6
_cell_length_a 2.781
_cell_length_b 3.963
_cell_length_c 5.706
_cell_angle_alpha 90.00
_cell_angle_beta 103.52
_cell_angle_gamma 90.00
loop_
_space_group_symop_operation_xyz
'x,y,z'
'x,-y,z'
loop_
_atom_site_label
_atom_site_type_symbol
_atom_site_fract_x
_atom_site_fract_y
_atom_site_fract_z
Mg1 Mg 0.000 0.000 0.000
Mg2 Mg 0.311 0.500 0.685
Cr1 Cr 0.642 0.000 0.430
Co1 Co 0.693 0.500 0.257

---

Number 1: mass density 4.05 Mg/m³, density of states at the Fermi level 0.8747 states/eV per atom. Number 2: mass density 6.03 Mg/m³, density of states at the Fermi level 1.3227 states/eV per atom. Number 3: mass density 6.24 Mg/m³, density of states at the Fermi level 1.2810 states/eV per atom. Number 4: mass density 4.33 Mg/m³, density of states at the Fermi level 0.6427 states/eV per atom.